# Hg2BiF

A relaxed Hg2BiF crystal (GGA-PBE, the Alexandria database).

```
Hg2BiF
1.0
0.000 3.582 3.582
3.582 0.000 3.582
3.582 3.582 0.000
Bi Hg F
1 2 1
Direct
0.500 0.500 0.500
0.250 0.250 0.250
0.750 0.750 0.750
0.000 0.000 0.000
```

Results
* SG: Fm-3m
* excess energy over the best structure of this formula in the dataset: 0.55 eV per formula unit
* formation energy without anion corrections: -389 meV/atom
* mass density: 11.36 g/cm³
* final energy: -7.91 eV for the cell shown

# HgBiF3

A relaxed HgBiF3 crystal (GGA-PBE, the Alexandria database).

```
HgBiF3
1.0
4.641 0.000 0.000
0.000 4.641 0.000
0.000 0.000 4.641
F Bi Hg
3 1 1
Direct
0.000 0.000 0.500
0.500 0.000 0.000
0.000 0.500 0.000
0.000 0.000 0.000
0.500 0.500 0.500
```

Results
* SG: Pm-3m
* excess energy over the best structure of this formula in the dataset: 0.18 eV per formula unit
* formation energy without anion corrections: -1841 meV/atom
* mass density: 7.75 g/cm³
* final energy: -19.00 eV for the cell shown

# Hg2BiF8

A relaxed Hg2BiF8 crystal (GGA-PBE, the Alexandria database).

```
Hg2BiF8
1.0
-0.448 3.925 3.993
-5.669 1.465 -2.077
0.676 -4.366 4.368
F Bi Hg
8 1 2
Direct
0.330 0.667 0.333
0.740 0.318 0.159
0.740 0.841 0.682
0.260 0.159 0.841
0.260 0.159 0.318
0.740 0.841 0.159
0.260 0.682 0.841
0.670 0.333 0.667
0.500 0.000 0.000
0.968 0.667 0.333
0.032 0.333 0.667
```

Results
* SG: P-3m1
* excess energy over the best structure of this formula in the dataset: 0.85 eV per formula unit
* formation energy without anion corrections: -1571 meV/atom
* mass density: 6.74 g/cm³
* final energy: -36.73 eV for the cell shown

# HgBi3F

A relaxed HgBi3F crystal (GGA-PBE, the Alexandria database).

```
HgBi3F
1.0
-3.773 -3.109 -1.654
-0.788 -1.619 4.837
-3.432 3.789 0.709
Bi Hg F
3 1 1
Direct
0.000 0.500 0.000
0.500 0.000 0.000
0.000 0.000 0.500
0.500 0.500 0.500
0.000 0.000 0.000
```

Results
* SG: Pm-3m
* excess energy over the best structure of this formula in the dataset: 0.00 eV per formula unit
* formation energy without anion corrections: -180 meV/atom
* mass density: 10.22 g/cm³
* final energy: -14.72 eV for the cell shown

# HgBiF2

A relaxed HgBiF2 crystal (GGA-PBE, the Alexandria database).

```
HgBiF2
1.0
-3.228 2.469 0.835
-0.361 -1.355 -6.048
-4.098 -5.886 1.563
Hg F Bi
2 4 2
Direct
0.900 0.035 0.750
0.100 0.965 0.250
0.713 0.414 0.426
0.287 0.586 0.926
0.713 0.414 0.074
0.287 0.586 0.574
0.803 0.520 0.750
0.197 0.480 0.250
```

Results
* SG: P2_1/m
* excess energy over the best structure of this formula in the dataset: 0.00 eV per formula unit
* formation energy without anion corrections: -1459 meV/atom
* mass density: 8.19 g/cm³
* final energy: -27.52 eV for the cell shown

# HgBiF5

A relaxed HgBiF5 crystal (GGA-PBE, the Alexandria database).

```
HgBiF5
1.0
-3.784 4.267 0.641
-2.986 -1.076 -4.782
-5.979 -4.058 3.119
F Hg Bi
10 2 2
Direct
0.846 0.154 0.250
0.637 0.303 0.969
0.303 0.637 0.469
0.697 0.363 0.531
0.309 0.154 0.327
0.154 0.309 0.827
0.363 0.697 0.031
0.846 0.691 0.173
0.691 0.846 0.673
0.154 0.846 0.750
0.000 0.000 0.500
0.000 0.000 0.000
0.545 0.455 0.250
0.455 0.545 0.750
```

Results
* SG: C2/c
* excess energy over the best structure of this formula in the dataset: 0.00 eV per formula unit
* formation energy without anion corrections: -1975 meV/atom
* mass density: 6.66 g/cm³
* final energy: -54.72 eV for the cell shown

# Hg2BiF6

A relaxed Hg2BiF6 crystal (GGA-PBE, the Alexandria database).

```
Hg2BiF6
1.0
4.106 0.000 0.000
2.053 6.197 -0.841
2.053 1.553 6.506
Hg F Bi
2 6 1
Direct
0.855 0.156 0.135
0.145 0.844 0.865
0.242 0.329 0.187
0.623 0.310 0.444
0.012 0.226 0.751
0.758 0.671 0.813
0.988 0.774 0.249
0.377 0.690 0.556
0.000 0.500 0.500
```

Results
* SG: C2/m
* formation energy without anion corrections: -1718 meV/atom
* mass density: 7.04 g/cm³
* final energy: -31.18 eV for the cell shown

# HgBiF3

A relaxed HgBiF3 crystal (GGA-PBE, the Alexandria database).

```
HgBiF3
1.0
-1.948 -1.610 -3.832
0.930 -4.294 1.331
-4.051 -0.212 2.148
F Hg Bi
3 1 1
Direct
0.000 0.000 0.500
0.000 0.500 0.000
0.500 0.000 0.000
0.000 0.000 0.000
0.500 0.500 0.500
```

Results
* SG: Pm-3m
* excess energy over the best structure of this formula in the dataset: 4.45 eV per formula unit
* formation energy without anion corrections: -988 meV/atom
* mass density: 8.01 g/cm³
* final energy: -14.74 eV for the cell shown